No. 1
The following is a PBE calculation of crystalline KCa3Ag at its relaxed geometry, from the Alexandria database.

Cell lengths 5.981, 5.981, 5.981 Å; angles 90.00, 90.00, 90.00 degrees
Atoms (fractional coordinates):
Ca: 0.000 0.500 0.000
Ca: 0.500 0.000 0.000
Ca: 0.000 0.000 0.500
Ag: 0.000 0.000 0.000
K: 0.500 0.500 0.500

Energy relative to the lowest polymorph listed for this composition (meV per atom): 0
Final energy (eV per atom): -2.0192
ΔE_f (meV per atom): -29
Calculated density (Mg/m³): 2.07



No. 2
The following is a PBE calculation of crystalline KCa2Ag2 at its relaxed geometry, from the Alexandria database.

Cell lengths 9.222, 9.222, 3.599 Å; angles 90.00, 90.00, 90.00 degrees
Atoms (fractional coordinates):
Ag: 0.155 0.655 0.500
Ag: 0.655 0.845 0.500
Ag: 0.345 0.155 0.500
Ag: 0.845 0.345 0.500
Ca: 0.865 0.635 0.000
Ca: 0.135 0.365 0.000
Ca: 0.635 0.135 0.000
Ca: 0.365 0.865 0.000
K: 0.500 0.500 0.000
K: 0.000 0.000 0.000

Energy relative to the lowest polymorph listed for this composition (meV per atom): 49
Final energy (eV per atom): -2.2468
ΔE_f (meV per atom): -86
Calculated density (Mg/m³): 3.63



No. 3
The following is a PBE calculation of crystalline KCaAg at its relaxed geometry, from the Alexandria database.

Cell lengths 7.881, 7.881, 3.916 Å; angles 75.61, 75.61, 28.78 degrees
Atoms (fractional coordinates):
Ca: 0.379 0.379 0.621
K: 0.642 0.642 0.358
Ag: 0.978 0.978 0.022

Energy relative to the lowest polymorph listed for this composition (meV per atom): 37
Final energy (eV per atom): -2.0252
ΔE_f (meV per atom): -42
Calculated density (Mg/m³): 2.74



- What is the final energy in the third record?
  -2.0252 eV per atom